Here is an optimized crystal structure of Cu4Rh3 from Alexandria via LeMat-Bulk. Energies are from PBE-GGA.

Values from the calculation:
Space-group type: P6/mmm, No. 191
Calculated density, g/cm3: 9.3
Formation enthalpy at 0 K, eV per atom: 0.315
Offset from the most stable computed form, eV per atom: 0.265

Cell lengths 5.0391, 5.0391, 4.5722 Å; angles 90.00, 90.00, 120.00 degrees
Fractional positions:
Cu  0.0000  0.0000  0.2487
Cu  0.0000  0.0000  0.7513
Cu  0.3333  0.6667  0.5000
Cu  0.6667  0.3333  0.5000
Rh  0.0000  0.5000  0.0000
Rh  0.5000  0.0000  0.0000
Rh  0.5000  0.5000  0.0000